1.
This record from the Alexandria database describes Tb7Pm16Dy6 after structural relaxation. The functional is PBE.

Calculated values
Spin magnetization = 0.0 μB/f.u.
ΔH_f (0 K) = 5.0 kcal/mol of atoms
Space-group type = Fm-3m
Volume = 34.97 Å³ per atom

Cell lengths 11.277, 11.277, 11.277 Å; angles 60.00, 60.00, 60.00 degrees
Positions (direct):
Tb  0.500  0.000  0.000
Pm  0.125  0.125  0.125
Pm  0.125  0.125  0.625
Pm  0.350  0.950  0.350
Pm  0.350  0.350  0.950
Pm  0.125  0.625  0.125
Tb  0.000  0.500  0.000
Tb  0.500  0.500  0.000
Dy  0.267  0.267  0.733
Pm  0.875  0.875  0.875
Pm  0.050  0.650  0.650
Dy  0.733  0.267  0.267
Dy  0.733  0.733  0.267
Dy  0.267  0.733  0.733
Tb  0.000  0.000  0.500
Pm  0.650  0.650  0.650
Tb  0.500  0.000  0.500
Pm  0.350  0.350  0.350
Pm  0.375  0.875  0.875
Dy  0.733  0.267  0.733
Dy  0.267  0.733  0.267
Tb  0.000  0.500  0.500
Pm  0.875  0.375  0.875
Tb  0.000  0.000  0.000
Pm  0.625  0.125  0.125
Pm  0.875  0.875  0.375
Pm  0.950  0.350  0.350
Pm  0.650  0.050  0.650
Pm  0.650  0.650  0.050

2.
This record from the Alexandria database describes Tb2Pm5Dy4 after structural relaxation. The functional is PBE.

Calculated values
Spin magnetization = 0.0 μB/f.u.
ΔH_f (0 K) = 1.7 kcal/mol of atoms
Energy above the lowest structure with this stoichiometry = 0 meV per atom
Space-group type = C2/m
Volume = 33.12 Å³ per atom

Cell lengths 3.550, 11.633, 9.019 Å; angles 93.96, 101.35, 90.00 degrees
Positions (direct):
Pm  0.096  0.536  0.192
Pm  0.500  0.000  0.000
Pm  0.904  0.464  0.808
Tb  0.284  0.647  0.568
Tb  0.716  0.353  0.432
Pm  0.177  0.070  0.353
Dy  0.035  0.260  0.070
Dy  0.965  0.740  0.930
Pm  0.823  0.930  0.647
Dy  0.359  0.204  0.719
Dy  0.641  0.796  0.281

3.
This record from the Alexandria database describes Tb2Pm3Dy2 after structural relaxation. The functional is PBE.

Calculated values
Spin magnetization = 0.0 μB/f.u.
ΔH_f (0 K) = 2.5 kcal/mol of atoms
Energy above the lowest structure with this stoichiometry = 95 meV per atom
Space-group type = C2/m
Volume = 33.23 Å³ per atom

Cell lengths 3.522, 8.594, 8.960 Å; angles 118.34, 101.33, 90.00 degrees
Positions (direct):
Pm  0.787  0.200  0.575
Pm  0.000  0.500  0.000
Tb  0.565  0.910  0.129
Dy  0.146  0.326  0.291
Pm  0.213  0.800  0.425
Tb  0.435  0.090  0.871
Dy  0.854  0.674  0.709

4.
This record from the Alexandria database describes Tb3Pm3Dy4 after structural relaxation. The functional is PBE.

Calculated values
Spin magnetization = 0.0 μB/f.u.
ΔH_f (0 K) = 2.2 kcal/mol of atoms
Space-group type = Amm2
Volume = 33.06 Å³ per atom

Cell lengths 3.698, 9.455, 9.455 Å; angles 90.16, 90.00, 90.00 degrees
Positions (direct):
Tb  0.000  0.497  0.999
Pm  0.500  0.673  0.674
Dy  0.000  0.625  0.375
Tb  0.000  0.001  0.503
Dy  0.000  0.877  0.874
Dy  0.000  0.374  0.626
Dy  0.000  0.126  0.123
Pm  0.500  0.326  0.327
Tb  0.500  0.174  0.826
Pm  0.500  0.827  0.173